Density functional theory data (PBE with a Hubbard U) for a geometry-optimized VTeO2F structure.

Cell and atoms, written as POSCAR:
```
VTeO2F
1.0
4.191 0.000 0.000
0.000 4.191 0.000
0.000 0.000 4.655
V Te O F
1 1 2 1
Cartesian
0.000 0.000 0.000
2.096 2.096 2.328
0.000 2.096 2.328
2.096 0.000 2.328
2.096 2.096 0.000
```

Output
E   -5.004 eV per atom
Crystal system   tetragonal